1.
# meta-GGA SCAN CsZr3Tc, PBEsol geometry
data_CsZr3Tc
_symmetry_space_group_name_H-M 'P 1'
_symmetry_Int_Tables_number 1
_cell_length_a 5.145
_cell_length_b 5.145
_cell_length_c 5.145
_cell_angle_alpha 90.00
_cell_angle_beta 90.00
_cell_angle_gamma 90.00
loop_
_symmetry_equiv_pos_as_xyz
'x,y,z'
loop_
_atom_site_label
_atom_site_fract_x
_atom_site_fract_y
_atom_site_fract_z
Cs1 0.000 0.000 0.000
Zr1 0.000 0.500 0.500
Zr2 0.500 0.000 0.500
Zr3 0.500 0.500 0.000
Tc1 0.500 0.500 0.500
# * electronic total energy: -32.309 eV/atom
# * SG: Pm-3m, No. 221
# * DFT formation energy: 0.684 eV/atom

2.
# meta-GGA SCAN ZnIrAu, PBEsol geometry
data_ZnIrAu
_symmetry_space_group_name_H-M 'P 1'
_symmetry_Int_Tables_number 1
_cell_length_a 4.326
_cell_length_b 4.326
_cell_length_c 2.763
_cell_angle_alpha 90.00
_cell_angle_beta 90.00
_cell_angle_gamma 120.00
loop_
_symmetry_equiv_pos_as_xyz
'x,y,z'
loop_
_atom_site_label
_atom_site_fract_x
_atom_site_fract_y
_atom_site_fract_z
Zn1 0.000 0.000 0.000
Ir1 0.667 0.333 0.729
Au1 0.333 0.667 0.261
# * electronic total energy: -51.075 eV/atom
# * SG: P3m1, No. 156
# * DFT formation energy: 0.182 eV/atom
# * E above lowest polymorph: 0.123 eV per atom